Compound: RbZr3Mn
Source: Alexandria via LeMat-Bulk
Functional: GGA-PBE
Structure: relaxed

Properties
* energy of formation from the pure elements: 2.188 eV per atom
* E: -0.183 Ha/atom
* symmetry: Pm-3m (221)
* E above lowest polymorph: 1451 meV per atom

abc: 5.034 5.034 5.034
angles: 90.00 90.00 90.00
Positions (direct):
Mn: 0.500 0.500 0.500
Rb: 0.000 0.000 0.000
Zr: 0.000 0.000 0.500
Zr: 0.000 0.500 0.000
Zr: 0.500 0.000 0.000